1.
# Mn2Ge2S5, relaxed, DFT GGA-PBE
# * total DFT energy (no corrections): -102.589 eV/cell
# * formation energy from raw total energies: -343 meV/atom
data_Mn2Ge2S5
_symmetry_space_group_name_H-M 'C 1 2/m 1'
_symmetry_Int_Tables_number 12
_cell_length_a 18.554
_cell_length_b 3.447
_cell_length_c 6.503
_cell_angle_alpha 90.00
_cell_angle_beta 104.78
_cell_angle_gamma 90.00
loop_
_symmetry_equiv_pos_as_xyz
'x,y,z'
'-x,-y,-z'
'-x,y,-z'
'x,-y,z'
'x+1/2,y+1/2,z'
'-x+1/2,-y+1/2,-z'
'-x+1/2,y+1/2,-z'
'x+1/2,-y+1/2,z'
loop_
_atom_site_label
_atom_site_type_symbol
_atom_site_fract_x
_atom_site_fract_y
_atom_site_fract_z
Mn1 Mn 0.095 0.000 0.485
Ge1 Ge 0.084 0.500 0.973
S1 S 0.000 0.500 0.500
S2 S 0.153 0.000 0.862
S3 S 0.154 0.500 0.344

---

2.
# Mn2GeS4, relaxed, DFT GGA-PBE
# * total DFT energy (no corrections): -84.060 eV/cell
# * formation energy from raw total energies: -366 meV/atom
data_Mn2GeS4
_symmetry_space_group_name_H-M 'C 1 2/m 1'
_symmetry_Int_Tables_number 12
_cell_length_a 13.167
_cell_length_b 3.374
_cell_length_c 5.508
_cell_angle_alpha 90.00
_cell_angle_beta 109.65
_cell_angle_gamma 90.00
loop_
_symmetry_equiv_pos_as_xyz
'x,y,z'
'-x,-y,-z'
'-x,y,-z'
'x,-y,z'
'x+1/2,y+1/2,z'
'-x+1/2,-y+1/2,-z'
'-x+1/2,y+1/2,-z'
'x+1/2,-y+1/2,z'
loop_
_atom_site_label
_atom_site_type_symbol
_atom_site_fract_x
_atom_site_fract_y
_atom_site_fract_z
Mn1 Mn 0.242 0.000 0.188
Ge1 Ge 0.000 0.500 0.500
S1 S 0.133 0.500 0.994
S2 S 0.161 0.000 0.515

---

3.
# MnGeS3, relaxed, DFT GGA-PBE
# * total DFT energy (no corrections): -23.992 eV/cell
# * excess energy over the best structure of this formula in the dataset: 778.6 meV/atom
# * formation energy from raw total energies: 435 meV/atom
data_MnGeS3
_symmetry_space_group_name_H-M 'P m -3 m'
_symmetry_Int_Tables_number 221
_symmetry_space_group_name_Hall '-P 4 2 3'
_cell_length_a 4.613
_cell_length_b 4.613
_cell_length_c 4.613
_cell_angle_alpha 90.00
_cell_angle_beta 90.00
_cell_angle_gamma 90.00
loop_
_atom_site_label
_atom_site_type_symbol
_atom_site_fract_x
_atom_site_fract_y
_atom_site_fract_z
Mn1 Mn 0.000 0.000 0.000
Ge1 Ge 0.500 0.500 0.500
S1 S 0.000 0.500 0.500

---

Number 3 is which compound?
MnGeS3